# 1
! CdCo4Se, relaxed, DFT PBE; values from VASP
! Space-group type = No. 216
! D(E_F) = 1.264 states/eV per atom
! Density = 8.4 g/cm³
! Energy relative to the elements, uncorrected = 0.363 eV/atom
&SYSTEM
  ibrav = 0, nat = 6, ntyp = 3
/
ATOMIC_SPECIES
Cd 112.41 Cd.upf
Co 58.93 Co.upf
Se 78.96 Se.upf
CELL_PARAMETERS angstrom
0.0000 3.4800 3.4800
3.4800 0.0000 3.4800
3.4800 3.4800 0.0000
ATOMIC_POSITIONS crystal
Cd 0.0000 0.0000 0.0000
Co 0.1252 0.6249 0.6249
Co 0.6249 0.1252 0.6249
Co 0.6249 0.6249 0.1252
Co 0.6249 0.6249 0.6249
Se 0.2500 0.2500 0.2500

=====

# 2
! Y2Er3Tm7, relaxed, DFT PBE; values from VASP
! Space-group type = No. 10
! D(E_F) = 1.521 states/eV per atom
! Density = 8.3 g/cm³
! DFT formation energy = 86 meV per atom
&SYSTEM
  ibrav = 0, nat = 12, ntyp = 3
/
ATOMIC_SPECIES
Y 88.91 Y.upf
Er 167.26 Er.upf
Tm 168.93 Tm.upf
CELL_PARAMETERS angstrom
6.2431 0.0000 0.0000
0.0000 3.4728 0.0000
-1.8783 0.0000 17.0872
ATOMIC_POSITIONS crystal
Y 0.0618 0.0000 0.1741
Y 0.9382 0.0000 0.8259
Er 0.4483 0.5000 0.8433
Er 0.5000 0.0000 0.5000
Er 0.5517 0.5000 0.1567
Tm 0.0000 0.5000 0.5000
Tm 0.2256 0.0000 0.6671
Tm 0.2554 0.0000 0.9989
Tm 0.2753 0.5000 0.3360
Tm 0.7247 0.5000 0.6640
Tm 0.7446 0.0000 0.0011
Tm 0.7744 0.0000 0.3329